(1)
## SmIrBr (PBE-GGA)

Data for a relaxed SmIrBr crystal.

Results
crystal system: monoclinic
SG: C2/m (12)
calculated volume: 177.09 Å³/cell
energy: -38.02 eV per cell

Lattice parameters (Å, degrees): 4.3012 4.3012 11.0532 91.27 91.27 60.03
Sites, in units of the cell vectors:
Ir 0.6665 0.6665 0.4959
Ir 0.3335 0.3335 0.5041
Sm 0.0066 0.0066 0.6691
Sm 0.9934 0.9934 0.3309
Br 0.3207 0.3207 0.1656
Br 0.6793 0.6793 0.8344



(2)
## ZrPIrO (PBE-GGA)

Data for a relaxed ZrPIrO crystal.

Results
crystal system: orthorhombic
SG: Pmc2_1 (26)
calculated volume: 114.25 Å³/cell
energy: -64.73 eV per cell

Lattice parameters (Å, degrees): 4.3659 4.2273 6.1904 90.00 90.00 90.00
Sites, in units of the cell vectors:
O 0.5000 0.3459 0.4273
O 0.5000 0.6541 0.9273
P 0.0000 0.1425 0.7964
P 0.0000 0.8575 0.2964
Zr 0.5000 0.1595 0.0752
Zr 0.5000 0.8405 0.5752
Ir 0.0000 0.3603 0.4551
Ir 0.0000 0.6397 0.9551



Which formula does entry 1 have?
SmIrBr



Repeat the second record exactly.
## ZrPIrO (PBE-GGA)

Data for a relaxed ZrPIrO crystal.

Results
crystal system: orthorhombic
SG: Pmc2_1 (26)
calculated volume: 114.25 Å³/cell
energy: -64.73 eV per cell

Lattice parameters (Å, degrees): 4.3659 4.2273 6.1904 90.00 90.00 90.00
Sites, in units of the cell vectors:
O 0.5000 0.3459 0.4273
O 0.5000 0.6541 0.9273
P 0.0000 0.1425 0.7964
P 0.0000 0.8575 0.2964
Zr 0.5000 0.1595 0.0752
Zr 0.5000 0.8405 0.5752
Ir 0.0000 0.3603 0.4551
Ir 0.0000 0.6397 0.9551